# PBE KSrBe2, relaxed
# Distance to the lowest polymorph of the same formula, kJ per mole of atoms: 53.7
# E, Ha/atom: -0.0553
# E_form, eV/atom: 1.053
# DOS(E_F), states/eV/f.u.: 3.957
data_KSrBe2
_chemical_formula_sum 'K3 Sr3 Be6'
_space_group_name_H-M_alt 'R -3 m'
_space_group_IT_number 166
_space_group_name_Hall '-R 3 2"'
_cell_length_a 4.3036
_cell_length_b 4.3036
_cell_length_c 25.8972
_cell_angle_alpha 90.00
_cell_angle_beta 90.00
_cell_angle_gamma 120.00
loop_
_atom_site_label
_atom_site_type_symbol
_atom_site_fract_x
_atom_site_fract_y
_atom_site_fract_z
_atom_site_occupancy
K1 K 0.0000 0.0000 0.0000 1
Sr1 Sr 0.0000 0.0000 0.5000 1
Be1 Be 0.0000 0.0000 0.2416 1